# KCoGe2O6 (GGA+U, relaxed)
data_KCoGe2O6
_chemical_formula_sum 'K2 Co2 Ge4 O12'
_cell_length_a 7.765
_cell_length_b 7.765
_cell_length_c 5.789
_cell_angle_alpha 106.34
_cell_angle_beta 106.34
_cell_angle_gamma 91.72
_space_group_name_H-M_alt 'P 1'
_space_group_IT_number 1
loop_
_space_group_symop_operation_xyz
'x,y,z'
loop_
_atom_site_label
_atom_site_type_symbol
_atom_site_fract_x
_atom_site_fract_y
_atom_site_fract_z
K1 K 0.112 0.888 0.750
K2 K 0.888 0.112 0.250
Co1 Co 0.221 0.779 0.250
Co2 Co 0.779 0.221 0.750
Ge1 Ge 0.225 0.382 0.907
Ge2 Ge 0.382 0.225 0.407
Ge3 Ge 0.618 0.775 0.593
Ge4 Ge 0.775 0.618 0.093
O1 O 0.023 0.235 0.742
O2 O 0.198 0.612 0.945
O3 O 0.235 0.023 0.242
O4 O 0.311 0.376 0.227
O5 O 0.376 0.311 0.727
O6 O 0.388 0.802 0.555
O7 O 0.612 0.198 0.445
O8 O 0.624 0.689 0.273
O9 O 0.689 0.624 0.773
O10 O 0.765 0.977 0.758
O11 O 0.802 0.388 0.055
O12 O 0.977 0.765 0.258
# Space-group type: C2/c (15)
# Total DFT energy (no corrections): -6.00 eV/atom